4
Lattice="0.000 3.179 3.179 3.179 0.000 3.179 3.179 3.179 0.000" Properties=species:S:1:pos:R:3 comment="LuFeSiW, relaxed, DFT PBE" energy_ev_per_fu=-29.41 spacegroup="F-43m (216)" polymorph_energy_mev_per_atom=147.2 m_tot_mub_per_cell=2.7 pbc="T T T"
Fe 4.769 4.769 4.769
Lu 1.590 1.590 1.590
Si 0.000 0.000 0.000
W 3.179 3.179 3.179



4
Lattice="0.000 3.130 3.130 3.130 0.000 3.130 3.130 3.130 0.000" Properties=species:S:1:pos:R:3 comment="LuFeSiW, relaxed, DFT PBE" energy_ev_per_fu=-30.00 spacegroup="F-43m (216)" polymorph_energy_mev_per_atom=0.0 m_tot_mub_per_cell=1.7 pbc="T T T"
Fe 4.695 4.695 4.695
Lu 3.130 3.130 3.130
Si 0.000 0.000 0.000
W 1.565 1.565 1.565



4
Lattice="-2.062 -0.798 3.827 -3.173 2.733 1.412 -4.217 -1.324 0.004" Properties=species:S:1:pos:R:3 comment="LuZnFeSi, relaxed, DFT PBE" energy_ev_per_fu=-19.97 spacegroup="F-43m (216)" m_tot_mub_per_cell=0.6 pbc="T T T"
Fe -7.089 0.459 3.932
Lu -2.363 0.153 1.311
Si 0.000 0.000 0.000
Zn -4.726 0.306 2.621



10
Lattice="4.990 -1.993 0.000 4.990 1.993 0.000 -4.750 0.000 8.428" Properties=species:S:1:pos:R:3 comment="LuZrFeSi2, relaxed, DFT PBE" energy_ev_per_fu=-36.10 spacegroup="C2/m (12)" m_tot_mub_per_cell=0.0 pbc="T T T"
Fe 5.447 0.000 3.154
Fe -0.217 0.000 5.274
Lu 8.376 0.000 2.728
Lu -3.146 0.000 5.700
Si 4.314 0.000 1.034
Si 1.416 0.000 3.621
Si 3.814 0.000 4.807
Si 0.916 0.000 7.394
Zr 1.373 0.000 0.847
Zr 3.857 0.000 7.581



4
Lattice="-1.527 -2.782 3.272 -4.147 0.637 1.782 -3.348 -2.958 -0.903" Properties=species:S:1:pos:R:3 comment="LuZrFeSi, relaxed, DFT PBE" energy_ev_per_fu=-26.66 spacegroup="F-43m (216)" polymorph_energy_mev_per_atom=0.0 m_tot_mub_per_cell=0.4 pbc="T T T"
Fe -6.766 -3.827 3.113
Lu -2.255 -1.276 1.038
Si 0.000 0.000 0.000
Zr -4.511 -2.551 2.075



4
Lattice="-0.423 -4.575 1.900 1.828 -0.995 4.516 -3.090 -0.836 3.804" Properties=species:S:1:pos:R:3 comment="LuFeSn2, relaxed, DFT PBE" energy_ev_per_fu=-20.27 spacegroup="F-43m (216)" polymorph_energy_mev_per_atom=0.0 m_tot_mub_per_cell=1.4 pbc="T T T"
Fe -0.842 -3.203 5.110
Lu -0.421 -1.602 2.555
Sn 0.000 0.000 0.000
Sn -1.264 -4.805 7.665



4
Lattice="0.000 3.472 3.472 3.472 0.000 3.472 3.472 3.472 0.000" Properties=species:S:1:pos:R:3 comment="LuFeSn2, relaxed, DFT PBE" energy_ev_per_fu=-20.24 spacegroup="F-43m (216)" polymorph_energy_mev_per_atom=8.8 m_tot_mub_per_cell=1.3 pbc="T T T"
Fe 1.736 1.736 1.736
Lu 3.472 3.472 3.472
Sn 0.000 0.000 0.000
Sn 5.208 5.208 5.208



4
Lattice="3.068 -3.173 -1.369 1.751 -2.992 3.056 -1.208 -4.457 -0.177" Properties=species:S:1:pos:R:3 comment="LuFe2Sn, relaxed, DFT PBE" energy_ev_per_fu=-24.89 spacegroup="F-43m (216)" m_tot_mub_per_cell=5.0 pbc="T T T"
Fe 0.000 0.000 0.000
Fe 2.709 -7.966 1.132
Lu 0.903 -2.655 0.377
Sn 1.806 -5.311 0.755



4
Lattice="-1.236 -0.420 4.552 -3.186 -3.255 1.298 1.368 -3.792 2.485" Properties=species:S:1:pos:R:3 comment="LuTaFeSn, relaxed, DFT PBE" energy_ev_per_fu=-27.32 spacegroup="F-43m (216)" polymorph_energy_mev_per_atom=0.0 m_tot_mub_per_cell=1.9 pbc="T T T"
Fe -2.291 -5.600 6.252
Lu -0.764 -1.867 2.084
Sn 0.000 0.000 0.000
Ta -1.527 -3.734 4.168



4
Lattice="0.000 3.254 3.254 3.254 0.000 3.254 3.254 3.254 0.000" Properties=species:S:1:pos:R:3 comment="LuFeTcSn, relaxed, DFT PBE" energy_ev_per_fu=-27.24 spacegroup="F-43m (216)" polymorph_energy_mev_per_atom=0.0 m_tot_mub_per_cell=1.9 pbc="T T T"
Fe 4.881 4.881 4.881
Lu 3.254 3.254 3.254
Sn 0.000 0.000 0.000
Tc 1.627 1.627 1.627



4
Lattice="0.678 3.216 3.351 -3.393 0.890 3.119 0.510 -1.340 4.469" Properties=species:S:1:pos:R:3 comment="LuFeTcSn, relaxed, DFT PBE" energy_ev_per_fu=-26.42 spacegroup="F-43m (216)" polymorph_energy_mev_per_atom=204.7 m_tot_mub_per_cell=4.0 pbc="T T T"
Fe -1.653 2.075 8.205
Lu -0.551 0.692 2.735
Sn 0.000 0.000 0.000
Tc -1.102 1.383 5.470



4
Lattice="0.000 3.351 3.351 3.351 0.000 3.351 3.351 3.351 0.000" Properties=species:S:1:pos:R:3 comment="LuZnFeSn, relaxed, DFT PBE" energy_ev_per_fu=-18.26 spacegroup="F-43m (216)" polymorph_energy_mev_per_atom=20.1 m_tot_mub_per_cell=2.4 pbc="T T T"
Fe 5.027 5.027 5.027
Lu 1.676 1.676 1.676
Sn 0.000 0.000 0.000
Zn 3.351 3.351 3.351